# 1
Material: ScTlCoAg
Method: DFT, PBE
State: relaxed

Cell: 4.666 4.666 4.666 Å, 60.00 60.00 60.00°
Sites, in units of the cell vectors:
Ag  0.500  0.500  0.500
Co  0.750  0.750  0.750
Sc  0.250  0.250  0.250
Tl  0.000  0.000  0.000

Computed properties:
Space group ... F-43m
Crystal system ... cubic
E above lowest polymorph ... 0.095 eV per atom

***

# 2
Material: RbErRe
Method: DFT, PBE
State: relaxed

Cell: 5.053 5.053 5.053 Å, 60.00 60.00 60.00°
Sites, in units of the cell vectors:
Er  0.000  0.000  0.000
Rb  0.250  0.250  0.250
Re  0.750  0.750  0.750

Computed properties:
Space group ... F-43m
Crystal system ... cubic

***

# 3
Material: HoSnAs
Method: DFT, PBE
State: relaxed

Cell: 4.874 4.874 4.874 Å, 60.00 60.00 60.00°
Sites, in units of the cell vectors:
As  0.000  0.000  0.000
Ho  0.250  0.250  0.250
Sn  0.750  0.750  0.750

Computed properties:
Space group ... F-43m
Crystal system ... cubic

***

# 4
Material: Cu5Ag4
Method: DFT, PBE
State: relaxed

Cell: 4.754 4.754 11.259 Å, 112.63 112.63 34.01°
Sites, in units of the cell vectors:
Ag  0.503  0.503  0.306
Ag  0.833  0.833  0.433
Ag  0.167  0.167  0.567
Ag  0.497  0.497  0.694
Cu  0.500  0.500  0.000
Cu  0.835  0.835  0.092
Cu  0.173  0.173  0.193
Cu  0.827  0.827  0.807
Cu  0.165  0.165  0.908

Computed properties:
Space group ... C2/m
Crystal system ... monoclinic
DFT formation energy ... 70 meV/atom
E above lowest polymorph ... 0.029 eV per atom

***

# 5
Material: NbF4
Method: DFT, PBE
State: relaxed

Cell: 4.160 4.160 4.160 Å, 109.47 109.47 109.47°
Sites, in units of the cell vectors:
F  0.511  0.000  0.000
F  0.000  0.511  0.000
F  0.489  0.489  0.489
F  0.000  0.000  0.511
Nb  0.000  0.000  0.000

Computed properties:
Space group ... I-43m
Crystal system ... cubic

***

# 6
Material: FeCoHgPb
Method: DFT, PBE
State: relaxed

Cell: 4.587 4.587 4.587 Å, 60.00 60.00 60.00°
Sites, in units of the cell vectors:
Co  0.750  0.750  0.750
Fe  0.250  0.250  0.250
Hg  0.500  0.500  0.500
Pb  0.000  0.000  0.000

Computed properties:
Space group ... F-43m
Crystal system ... cubic
E above lowest polymorph ... 0.000 eV per atom

***

# 7
Material: P2Os
Method: DFT, PBE
State: relaxed

Cell: 7.091 7.091 7.091 Å, 60.00 60.00 60.00°
Sites, in units of the cell vectors:
Os  0.250  0.250  0.250
Os  0.500  0.500  0.500
P  0.375  0.375  0.375
P  0.875  0.375  0.375
P  0.375  0.875  0.375
P  0.375  0.375  0.875

Computed properties:
Space group ... Fd-3m
Crystal system ... cubic

***

# 8
Material: HfNiSnPd
Method: DFT, PBE
State: relaxed

Cell: 4.597 4.597 4.597 Å, 60.00 60.00 60.00°
Sites, in units of the cell vectors:
Hf  0.250  0.250  0.250
Ni  0.750  0.750  0.750
Pd  0.500  0.500  0.500
Sn  0.000  0.000  0.000

Computed properties:
Space group ... F-43m
Crystal system ... cubic
E above lowest polymorph ... 0.275 eV per atom

***

| no. | mass density (kg/m3) | final energy (eV/atom) |
| --- | --- | --- |
| 1 | 9620 | -4.539 |
| 2 | 7989 | -3.975 |
| 3 | 7271 | -4.802 |
| 4 | 9547 | -3.250 |
| 5 | 5063 | -6.207 |
| 6 | 12714 | -4.269 |
| 7 | 3322 | -7.003 |
| 8 | 11179 | -6.475 |